## AlCd (PBE-GGA)

Data for a relaxed AlCd crystal.

a b c (Å): 4.363 4.363 4.252
angles (deg): 90.00 90.00 90.00
Positions (direct):
Al: 0.250 0.750 0.000
Al: 0.750 0.250 0.000
Cd: 0.750 0.750 0.500
Cd: 0.250 0.250 0.500

Computed properties:
* DFT total energy: -2.159 eV/atom
* D(E_F): 1.78 states/eV/cell
* total magnetization: 0.00 Bohr magnetons per cell


## Al3Cd (PBE-GGA)

Data for a relaxed Al3Cd crystal.

a b c (Å): 5.744 5.150 9.945
angles (deg): 90.00 90.00 90.00
Positions (direct):
Al: 0.625 0.258 0.007
Cd: 0.375 0.072 0.250
Al: 0.367 0.418 0.750
Al: 0.875 0.758 0.493
Cd: 0.125 0.572 0.250
Cd: 0.875 0.428 0.750
Al: 0.125 0.242 0.993
Al: 0.375 0.742 0.507
Cd: 0.625 0.928 0.750
Al: 0.375 0.742 0.993
Al: 0.125 0.242 0.507
Al: 0.133 0.918 0.750
Al: 0.625 0.258 0.493
Al: 0.867 0.082 0.250
Al: 0.875 0.758 0.007
Al: 0.633 0.582 0.250

Computed properties:
* DFT total energy: -2.915 eV/atom
* D(E_F): 7.15 states/eV/cell
* total magnetization: 0.00 Bohr magnetons per cell


## AlCd (PBE-GGA)

Data for a relaxed AlCd crystal.

a b c (Å): 8.211 8.211 8.211
angles (deg): 90.00 90.00 90.00
Positions (direct):
Cd: 0.299 0.701 0.701
Al: 0.618 0.382 0.382
Cd: 0.799 0.201 0.201
Cd: 0.701 0.701 0.299
Al: 0.382 0.382 0.618
Cd: 0.799 0.799 0.799
Cd: 0.201 0.799 0.201
Cd: 0.299 0.299 0.299
Al: 0.118 0.118 0.118
Al: 0.618 0.618 0.618
Al: 0.382 0.618 0.382
Cd: 0.201 0.201 0.799
Al: 0.882 0.882 0.118
Al: 0.882 0.118 0.882
Cd: 0.701 0.299 0.701
Al: 0.118 0.882 0.882

Computed properties:
* DFT total energy: -1.909 eV/atom
* D(E_F): 1.84 states/eV/cell
* total magnetization: 0.00 Bohr magnetons per cell


## AlCd (PBE-GGA)

Data for a relaxed AlCd crystal.

a b c (Å): 3.008 3.049 5.286
angles (deg): 107.21 89.99 119.58
Positions (direct):
Cd: 0.500 0.500 0.000
Al: 0.000 0.500 0.500

Computed properties:
* DFT total energy: -2.203 eV/atom
* D(E_F): 0.50 states/eV/cell
* total magnetization: 0.00 Bohr magnetons per cell


## Al3Cd (PBE-GGA)

Data for a relaxed Al3Cd crystal.

a b c (Å): 2.851 4.232 6.124
angles (deg): 90.00 90.00 90.00
Positions (direct):
Al: 0.500 0.500 0.274
Cd: 0.000 0.000 0.000
Al: 0.000 0.000 0.500
Al: 0.500 0.500 0.726

Computed properties:
* DFT total energy: -2.926 eV/atom
* D(E_F): 1.61 states/eV/cell
* total magnetization: 0.00 Bohr magnetons per cell


## Al5Cd3 (PBE-GGA)

Data for a relaxed Al5Cd3 crystal.

a b c (Å): 6.016 6.016 4.285
angles (deg): 90.00 90.00 89.04
Positions (direct):
Cd: 0.500 0.500 0.000
Cd: 0.248 0.248 0.500
Al: 0.000 0.500 0.000
Al: 0.000 0.000 0.000
Cd: 0.752 0.752 0.500
Al: 0.760 0.240 0.500
Al: 0.240 0.760 0.500
Al: 0.500 0.000 0.000

Computed properties:
* D(E_F): 3.05 states/eV/cell
* excess energy over the best structure of this formula in the dataset: 0 meV/atom
* total magnetization: 0.00 Bohr magnetons per cell


## Ce2AlCd (PBE-GGA)

Data for a relaxed Ce2AlCd crystal.

a b c (Å): 3.017 3.017 12.245
angles (deg): 82.92 82.92 60.00
Positions (direct):
Ce: 0.914 0.914 0.257
Al: 0.000 0.000 0.000
Ce: 0.086 0.086 0.743
Cd: 0.500 0.500 0.500

Computed properties:
* DFT total energy: -4.019 eV/atom
* D(E_F): 5.73 states/eV/cell
* total magnetization: 0.00 Bohr magnetons per cell


## CeAlCd2 (PBE-GGA)

Data for a relaxed CeAlCd2 crystal.

a b c (Å): 3.527 3.527 7.581
angles (deg): 90.00 90.00 90.00
Each line ends with the local moment (μB).
Positions (direct):
Ce: 0.500 0.500 0.500  1.01
Al: 0.500 0.500 0.000  0.00
Cd: 0.000 0.000 0.209  0.00
Cd: 0.000 0.000 0.791  0.00

Computed properties:
* DFT total energy: -2.924 eV/atom
* D(E_F): 7.05 states/eV/cell
* total magnetization: 1.33 Bohr magnetons per cell


## Ce2AlCd2 (PBE-GGA)

Data for a relaxed Ce2AlCd2 crystal.

a b c (Å): 3.223 4.947 7.781
angles (deg): 108.53 90.00 90.00
Each line ends with the local moment (μB).
Positions (direct):
Ce: 0.500 0.407 0.814  0.57
Cd: 0.000 0.801 0.602  0.00
Al: 0.000 0.000 0.000  -0.01
Ce: 0.500 0.593 0.186  0.57
Cd: 0.000 0.199 0.398  0.00

Computed properties:
* D(E_F): 8.57 states/eV/cell
* excess energy over the best structure of this formula in the dataset: 0 meV/atom
* total magnetization: 1.37 Bohr magnetons per cell


## CeAl2Cd (PBE-GGA)

Data for a relaxed CeAl2Cd crystal.

a b c (Å): 4.334 4.518 4.518
angles (deg): 90.00 90.00 90.00
Each line ends with the local moment (μB).
Positions (direct):
Cd: 0.500 0.000 0.000  0.00
Al: 0.000 0.500 0.000  0.00
Al: 0.000 0.000 0.500  0.00
Ce: 0.500 0.500 0.500  0.40

Computed properties:
* D(E_F): 5.96 states/eV/cell
* excess energy over the best structure of this formula in the dataset: 0 meV/atom
* total magnetization: 0.48 Bohr magnetons per cell


## Ce2AlCd (PBE-GGA)

Data for a relaxed Ce2AlCd crystal.

a b c (Å): 3.174 5.729 5.729
angles (deg): 114.17 89.99 89.99
Each line ends with the local moment (μB).
Positions (direct):
Al: 0.500 0.500 0.000  0.00
Ce: 0.000 0.000 0.000  0.21
Ce: 0.000 0.500 0.500  0.21
Cd: 0.500 0.000 0.500  0.00

Computed properties:
* DFT total energy: -4.355 eV/atom
* D(E_F): 7.44 states/eV/cell
* total magnetization: 0.48 Bohr magnetons per cell


## Ce2AlCd2 (PBE-GGA)

Data for a relaxed Ce2AlCd2 crystal.

a b c (Å): 5.881 9.239 12.518
angles (deg): 22.29 76.90 69.83
Each line ends with the local moment (μB).
Positions (direct):
Cd: 0.349 0.026 0.590  0.00
Al: 0.866 0.245 0.752  -0.01
Ce: 0.533 0.100 0.081  0.47
Cd: 0.899 0.472 0.926  0.00
Al: 0.134 0.755 0.248  -0.01
Ce: 0.467 0.900 0.919  0.47
Cd: 0.101 0.528 0.074  0.00
Ce: 0.256 0.557 0.623  0.49
Cd: 0.651 0.974 0.410  0.00
Ce: 0.744 0.443 0.377  0.49

Computed properties:
* D(E_F): 15.94 states/eV/cell
* excess energy over the best structure of this formula in the dataset: 60 meV/atom
* total magnetization: 2.22 Bohr magnetons per cell


## CeAlCd2 (PBE-GGA)

Data for a relaxed CeAlCd2 crystal.

a b c (Å): 4.779 4.483 4.483
angles (deg): 90.00 90.00 90.00
Each line ends with the local moment (μB).
Positions (direct):
Al: 0.500 0.500 0.500  0.01
Ce: 0.500 0.000 0.000  0.69
Cd: 0.000 0.000 0.500  0.01
Cd: 0.000 0.500 0.000  0.01

Computed properties:
* DFT total energy: -3.026 eV/atom
* D(E_F): 8.41 states/eV/cell
* total magnetization: 0.86 Bohr magnetons per cell